1.
The following is a DFT calculation (PBE-GGA) of a geometry-optimized TbPr3Ho6 structure.

Computed properties:
Raw total energy   -4.49 eV per atom
Crystal system   orthorhombic
Energy of formation from the pure elements   150 meV/atom
N(E_F)   1.35 states/eV per atom

a = 10.9918 Å, b = 18.9315 Å, c = 6.3588 Å
α = 90.00°, β = 90.00°, γ = 90.00°
Closest atoms and distances in Å follow each position.
Space group Cmc2_1 (No. 36)
Inequivalent atoms, fractional coordinates:
Tb 0.0000 0.1945 0.0000  2 Pr 3.26, 7 Ho 3.31-3.60
Pr 0.0000 0.3880 0.9391  7 Ho 3.47-3.76, 2 Pr 3.62, 1 Tb 3.68
Pr 0.1766 0.1134 0.3335  1 Tb 3.26, 6 Ho 3.31-3.52, 1 Pr 3.62
Ho 0.0000 0.0387 0.7391  1 Tb 3.38, 2 Ho 3.50, 4 Pr 3.52
Ho 0.0000 0.2713 0.5184  4 Ho 3.19-3.40, 1 Tb 3.39, 1 Pr 3.47
Ho 0.1675 0.4542 0.4164  4 Ho 3.39-3.68, 4 Pr 3.41-3.76
Ho 0.2398 0.2900 0.2418  5 Ho 3.19-3.53, 2 Pr 3.31-3.46, 2 Tb 3.31-3.55

2.
The following is a DFT calculation (PBE-GGA) of a geometry-optimized SiPF3 structure.

Computed properties:
ΔE_f (raw)   -0.49 eV/atom
Raw total energy   -3.78 eV per atom
Crystal system   cubic
N(E_F)   0.55 states/eV per atom

a = 4.2342 Å, b = 4.2342 Å, c = 4.2342 Å
α = 90.00°, β = 90.00°, γ = 90.00°
Closest atoms and distances in Å follow each position.
Space group Pm-3m (No. 221)
Inequivalent atoms, fractional coordinates:
Si 0.0000 0.0000 0.0000  12 F 2.99
P 0.5000 0.5000 0.5000  6 F 2.12
F 0.0000 0.5000 0.5000  2 P 2.12

3.
The following is a DFT calculation (PBE-GGA) of a geometry-optimized Ac2TbPm2Pr4 structure.

Computed properties:
Raw total energy   -4.58 eV per atom
Crystal system   monoclinic
Energy of formation from the pure elements   32 meV/atom
N(E_F)   1.33 states/eV per atom

a = 19.5201 Å, b = 3.7793 Å, c = 10.1015 Å
α = 90.00°, β = 115.62°, γ = 90.00°
Closest atoms and distances in Å follow each position.
Space group C2/m (No. 12)
Inequivalent atoms, fractional coordinates:
Ac 0.1470 0.0000 0.1687  3 Pm 3.73-3.76, 7 Pr 3.77-3.84, 2 Ac 3.78
Tb 0.0000 0.0000 0.5000  6 Pr 3.63-3.68, 4 Pm 3.72, 2 Tb 3.78
Pm 0.1648 0.5000 0.5038  3 Pr 3.64-3.67, 2 Tb 3.72, 3 Ac 3.73-3.76, 4 Pm 3.78-3.86
Pr 0.0173 0.5000 0.8192  2 Tb 3.63, 1 Pm 3.64, 5 Pr 3.71-3.99, 4 Ac 3.77-3.84
Pr 0.1830 0.0000 0.8283  2 Pm 3.67, 1 Tb 3.68, 6 Pr 3.71-3.82, 3 Ac 3.80-3.81

4.
The following is a DFT calculation (PBE-GGA) of a geometry-optimized K4Ce3ZrS8 structure.

Computed properties:
ΔE_f (raw)   -1.70 eV/atom
Raw total energy   -5.68 eV per atom
Crystal system   trigonal
N(E_F)   1.32 states/eV per atom

a = 8.1797 Å, b = 8.1797 Å, c = 22.1884 Å
α = 90.00°, β = 90.00°, γ = 120.00°
Closest atoms and distances in Å follow each position.
Space group R-3m (No. 166, hexagonal axes)
Inequivalent atoms, fractional coordinates:
K 0.0000 0.0000 0.0000  6 S 3.32
K 0.0000 0.5000 0.0000  6 S 3.18-3.19
Ce 0.0000 0.5000 0.5000  6 S 2.83-2.85
Zr 0.0000 0.0000 0.5000  6 S 2.69
S 0.0000 0.0000 0.2371  3 Ce 2.83
S 0.0173 0.5086 0.2340  1 Zr 2.69, 2 Ce 2.85